1.
# PBE V2SbMo, relaxed
# - volume (A^3/atom) = 17.53
# - DFT total energy (eV/cell) = -122.649
# - theoretical density (g/cm³) = 7.57
# - E_form (uncorrected) (eV/atom) = 0.632
# - crystal system = tetragonal
data_V2SbMo
_symmetry_space_group_name_H-M 'I -4 2 d'
_symmetry_Int_Tables_number 122
_symmetry_space_group_name_Hall 'I -4 2bw'
_cell_length_a 3.892
_cell_length_b 3.892
_cell_length_c 18.517
_cell_angle_alpha 90.00
_cell_angle_beta 90.00
_cell_angle_gamma 90.00
loop_
_atom_site_label
_atom_site_type_symbol
_atom_site_fract_x
_atom_site_fract_y
_atom_site_fract_z
V1 V 0.235 0.250 0.125
Sb1 Sb 0.000 0.000 0.000
Mo1 Mo 0.000 0.000 0.500

2.
# PBE VSb2Mo, relaxed
# - volume (A^3/atom) = 20.10
# - DFT total energy (eV/cell) = -77.982
# - relative energy among the computed polymorphs (eV/atom) = 0.366
# - theoretical density (g/cm³) = 8.06
# - E_form (uncorrected) (eV/atom) = 0.550
# - crystal system = trigonal
data_VSb2Mo
_symmetry_space_group_name_H-M 'R -3 m'
_symmetry_Int_Tables_number 166
_symmetry_space_group_name_Hall '-R 3 2"'
_cell_length_a 3.1127
_cell_length_b 3.1127
_cell_length_c 28.7504
_cell_angle_alpha 90.00
_cell_angle_beta 90.00
_cell_angle_gamma 120.00
loop_
_atom_site_label
_atom_site_type_symbol
_atom_site_fract_x
_atom_site_fract_y
_atom_site_fract_z
V1 V 0.0000 0.0000 0.0000
Sb1 Sb 0.0000 0.0000 0.4044
Mo1 Mo 0.0000 0.0000 0.5000

3.
# PBE VSb2Mo, relaxed
# - volume (A^3/atom) = 30.23
# - DFT total energy (eV/cell) = -99.620
# - relative energy among the computed polymorphs (eV/atom) = 0.638
# - theoretical density (g/cm³) = 5.36
# - E_form (uncorrected) (eV/atom) = 0.822
# - crystal system = tetragonal
data_VSb2Mo
_symmetry_space_group_name_H-M 'I -4 2 d'
_symmetry_Int_Tables_number 122
_symmetry_space_group_name_Hall 'I -4 2bw'
_cell_length_a 6.273
_cell_length_b 6.273
_cell_length_c 12.294
_cell_angle_alpha 90.00
_cell_angle_beta 90.00
_cell_angle_gamma 90.00
loop_
_atom_site_label
_atom_site_type_symbol
_atom_site_fract_x
_atom_site_fract_y
_atom_site_fract_z
V1 V 0.000 0.000 0.000
Sb1 Sb 0.246 0.250 0.625
Mo1 Mo 0.000 0.000 0.500

4.
# PBE VSbMo, relaxed
# - volume (A^3/atom) = 19.16
# - DFT total energy (eV/cell) = -92.543
# - relative energy among the computed polymorphs (eV/atom) = 0.000
# - theoretical density (g/cm³) = 7.76
# - E_form (uncorrected) (eV/atom) = 0.312
# - crystal system = cubic
data_VSbMo
_symmetry_space_group_name_H-M 'F -4 3 m'
_symmetry_Int_Tables_number 216
_symmetry_space_group_name_Hall 'F -4 2 3'
_cell_length_a 6.126
_cell_length_b 6.126
_cell_length_c 6.126
_cell_angle_alpha 90.00
_cell_angle_beta 90.00
_cell_angle_gamma 90.00
loop_
_atom_site_label
_atom_site_type_symbol
_atom_site_fract_x
_atom_site_fract_y
_atom_site_fract_z
V1 V 0.000 0.000 0.000
Sb1 Sb 0.250 0.250 0.750
Mo1 Mo 0.250 0.250 0.250

5.
# PBE VSb2Mo, relaxed
# - volume (A^3/atom) = 18.41
# - DFT total energy (eV/cell) = -109.827
# - relative energy among the computed polymorphs (eV/atom) = 0.000
# - theoretical density (g/cm³) = 8.80
# - E_form (uncorrected) (eV/atom) = 0.184
# - crystal system = cubic
data_VSb2Mo
_symmetry_space_group_name_H-M 'F m -3 m'
_symmetry_Int_Tables_number 225
_symmetry_space_group_name_Hall '-F 4 2 3'
_cell_length_a 6.654
_cell_length_b 6.654
_cell_length_c 6.654
_cell_angle_alpha 90.00
_cell_angle_beta 90.00
_cell_angle_gamma 90.00
loop_
_atom_site_label
_atom_site_type_symbol
_atom_site_fract_x
_atom_site_fract_y
_atom_site_fract_z
V1 V 0.000 0.000 0.000
Sb1 Sb 0.250 0.250 0.250
Mo1 Mo 0.000 0.000 0.500

6.
# PBE V2SbMo, relaxed
# - volume (A^3/atom) = 15.96
# - DFT total energy (eV/cell) = -33.131
# - theoretical density (g/cm³) = 8.31
# - E_form (uncorrected) (eV/atom) = 0.015
# - crystal system = tetragonal
data_V2SbMo
_symmetry_space_group_name_H-M 'P 4/m m m'
_symmetry_Int_Tables_number 123
_symmetry_space_group_name_Hall '-P 4 2'
_cell_length_a 3.348
_cell_length_b 3.348
_cell_length_c 5.696
_cell_angle_alpha 90.00
_cell_angle_beta 90.00
_cell_angle_gamma 90.00
loop_
_atom_site_label
_atom_site_type_symbol
_atom_site_fract_x
_atom_site_fract_y
_atom_site_fract_z
V1 V 0.000 0.000 0.234
Sb1 Sb 0.500 0.500 0.500
Mo1 Mo 0.500 0.500 0.000

| no. | N(E_F) (states/eV/atom) |
| --- | --- |
| 1 | 1.0956 |
| 2 | 1.2826 |
| 3 | 0.5868 |
| 4 | 1.0385 |
| 5 | 0.8083 |
| 6 | 0.8771 |